Here is an optimized crystal structure of AlCoF3 from Alexandria. Energies are from PBE with a Hubbard U.

Unit cell a=3.934 b=3.934 c=3.934 alpha=90.00 beta=90.00 gamma=90.00
Fractional coordinates of all 5 atoms:
Al: 0.000 0.000 0.000
Co: 0.500 0.500 0.500
F: 0.000 0.000 0.500
F: 0.000 0.500 0.000
F: 0.500 0.000 0.000

Calculated total energy   -4.5241 eV per atom
Density of states at the Fermi level   3.752 states/eV per cell
Polymorph energy (0 for the lowest one)   0 meV/atom
Symmetry   Pm-3m, No. 221
Total moment   0.589 μB per atom